An optimized crystal structure of MnGeF. Source: Alexandria, functional PBE+U.

Unit cell a=6.715 b=3.849 c=8.045 alpha=90.00 beta=105.86 gamma=90.00
Space group C2/m (No. 12)
Symmetry-distinct sites (fractional):
Mn 0.229 0.000 0.189 (multiplicity 4)
Ge 0.141 0.500 0.424 (multiplicity 4)
F 0.134 0.000 0.904 (multiplicity 4)

Calculated values
Size of the total moment: 5.0 μB/f.u.
Energy: -5.79 eV/atom